1.
First-principles (PBE) data for a relaxed Zn2PRh crystal, as listed in Alexandria.

a = 3.232 Å, b = 3.772 Å, c = 5.107 Å
α = 90.00°, β = 108.08°, γ = 90.00°
Space group Pm (No. 6)
Unique sites:
1 Zn 0.000 0.000 0.000
2 Zn 0.330 0.500 0.669
3 P 0.591 0.500 0.180
4 Rh 0.726 0.000 0.458

2.
First-principles (PBE) data for a relaxed NdReB4 crystal, as listed in Alexandria.

a = 6.081 Å, b = 11.770 Å, c = 3.684 Å
α = 90.00°, β = 90.00°, γ = 90.00°
Space group Pbam (No. 55)
Unique sites:
1 Nd 0.124 0.150 0.000
2 Re 0.129 0.414 0.000
3 B 0.024 0.690 0.500
4 B 0.112 0.546 0.500
5 B 0.140 0.968 0.500
6 B 0.219 0.817 0.500

Properties
energy above the most stable polymorph in this dataset = 0.0 meV per atom

3.
First-principles (PBE) data for a relaxed Mg3C crystal, as listed in Alexandria.

a = 4.376 Å, b = 4.376 Å, c = 4.376 Å
α = 90.00°, β = 90.00°, γ = 90.00°
Space group Pm-3m (No. 221)
Unique sites:
1 Mg 0.000 0.000 0.500
2 C 0.000 0.000 0.000

Properties
energy above the most stable polymorph in this dataset = 38.1 meV per atom

| no. | calculated total energy (Ry/atom) | DFT formation energy (eV per atom) | M_tot (μB/atom) |
| --- | --- | --- | --- |
| 1 | -0.296 | -0.20 | 0.000 |
| 2 | -0.574 | -0.49 | 0.000 |
| 3 | -0.230 | 0.37 | 0.000 |